DFT (PBE) results for a relaxed structure of DyTiZnRu. Values from VASP.

Geometry as Quantum ESPRESSO input:
```
&SYSTEM
  ibrav = 0, nat = 4, ntyp = 4
/
ATOMIC_SPECIES
Dy 162.50 Dy.upf
Ti 47.87 Ti.upf
Zn 65.41 Zn.upf
Ru 101.07 Ru.upf
CELL_PARAMETERS angstrom
0.000 3.305 3.305
3.305 0.000 3.305
3.305 3.305 0.000
ATOMIC_POSITIONS crystal
Dy 0.000 0.000 0.000
Ti 0.500 0.500 0.500
Zn 0.250 0.250 0.250
Ru 0.750 0.750 0.750
```

Output
E_form in eV per atom: -0.243

---

DFT (PBE) results for a relaxed structure of TlSiSe2Br. Values from VASP.

Geometry as Quantum ESPRESSO input:
```
&SYSTEM
  ibrav = 0, nat = 5, ntyp = 4
/
ATOMIC_SPECIES
Tl 204.38 Tl.upf
Si 28.09 Si.upf
Se 78.96 Se.upf
Br 79.90 Br.upf
CELL_PARAMETERS angstrom
5.403 0.000 0.000
0.000 5.403 0.000
0.000 0.000 5.449
ATOMIC_POSITIONS crystal
Tl 0.000 0.000 0.000
Si 0.500 0.500 0.500
Se 0.000 0.500 0.000
Se 0.500 0.000 0.000
Br 0.000 0.000 0.500
```

Output
Formation energy without anion corrections in kJ per mole of atoms: 68.4
Energy above the lowest structure with this stoichiometry in eV/atom: 0.8743

---

V values, unit A^3/atom, following the record order: 18.05, 31.81.